No. 1
Entry from Alexandria via LeMat-Bulk: an optimized crystal structure of PuSb3PdRh2 (GGA-PBE).

Cell: 8.3444 8.3444 17.0011 Å, 90.00 90.00 120.00°
Space group R-3m (No. 166, hexagonal axes)
Symmetry-distinct sites (fractional):
Pu  0.0000  0.0000  0.2450 (multiplicity 6)
Sb  0.0261  0.5131  0.7559 (multiplicity 18)
Pd  0.0000  0.0000  0.4090 (multiplicity 6)
Rh  0.0000  0.0000  0.0000 (multiplicity 3)
Rh  0.0000  0.5000  0.5000 (multiplicity 9)

Output
For the raw formation energy, the calculation gives -0.33 eV/atom.

---

No. 2
Entry from Alexandria via LeMat-Bulk: an optimized crystal structure of PuScPdRh (GGA-PBE).

Cell: 6.762 6.762 6.762 Å, 90.00 90.00 90.00°
Space group F-43m (No. 216)
Symmetry-distinct sites (fractional):
Pu  0.000  0.000  0.000 (multiplicity 4)
Sc  0.000  0.000  0.500 (multiplicity 4)
Pd  0.250  0.250  0.250 (multiplicity 4)
Rh  0.250  0.250  0.750 (multiplicity 4)

Output
The calculated total energy comes out at -8.910 eV/atom.

---

No. 3
Entry from Alexandria via LeMat-Bulk: an optimized crystal structure of Pu2Si6PdRh (GGA-PBE).

Cell: 5.8678 5.8678 37.5542 Å, 90.00 90.00 120.00°
Space group R-3m (No. 166, hexagonal axes)
Symmetry-distinct sites (fractional):
Pu  0.0000  0.0000  0.1262 (multiplicity 6)
Pu  0.0000  0.0000  0.2762 (multiplicity 6)
Si  0.0595  0.5297  0.7197 (multiplicity 18)
Si  0.0664  0.5332  0.8691 (multiplicity 18)
Pd  0.0000  0.0000  0.4226 (multiplicity 6)
Rh  0.0000  0.0000  0.0000 (multiplicity 3)
Rh  0.0000  0.0000  0.5000 (multiplicity 3)

Output
For the raw formation energy, the calculation gives -0.38 eV/atom.

---

Size of the total moment readings, ordered: 4.84 5.39 10.93 μB per formula unit